Record 1
# SmYPd2

A relaxed structure of SmYPd2 (PBE, Alexandria via LeMat-Bulk).

a = 4.5731 Å, b = 5.6678 Å, c = 5.6678 Å
α = 39.29°, β = 90.00°, γ = 90.00°
Closest atoms and distances in Å follow each position.
Fractional positions:
1 Sm 0.0000 0.0000 0.0000  7 Pd 2.95-3.06
2 Y 0.5000 0.7253 0.7253  7 Pd 2.97-3.04
3 Pd 0.0000 0.2759 0.2759  2 Pd 2.93, 3 Sm 2.95-3.06, 4 Y 3.03
4 Pd 0.5000 0.4470 0.4470  2 Pd 2.93, 3 Y 2.97-3.04, 4 Sm 3.03

Properties
Calculated total energy, eV/cell: -25.06
Energy above the lowest structure with this stoichiometry, meV/atom: 0
M_tot, μB/cell: 0.000
Energy of formation, eV per atom: -0.8737
Volume, Å³/atom: 23.26

=====

Record 2
# CeSmGaPt

A relaxed structure of CeSmGaPt (PBE, Alexandria via LeMat-Bulk).

a = 5.1183 Å, b = 5.1183 Å, c = 5.1183 Å
α = 60.00°, β = 60.00°, γ = 60.00°
Closest atoms and distances in Å follow each position.
Fractional positions:
1 Ce 0.0000 0.0000 0.0000  4 Pt 3.13, 4 Ga 3.13
2 Sm 0.5000 0.5000 0.5000  4 Pt 3.13, 4 Ga 3.13
3 Ga 0.2500 0.2500 0.2500  4 Ce 3.13, 4 Sm 3.13
4 Pt 0.7500 0.7500 0.7500  4 Ce 3.13, 4 Sm 3.13

Properties
Calculated total energy, eV/cell: -22.55
Energy above the lowest structure with this stoichiometry, meV/atom: 97
M_tot, μB/cell: 0.610
Energy of formation, eV per atom: -0.7076
Volume, Å³/atom: 23.70

=====

Record 3
# K2AgPt

A relaxed structure of K2AgPt (PBE, Alexandria via LeMat-Bulk).

a = 5.4659 Å, b = 5.4659 Å, c = 5.4659 Å
α = 60.00°, β = 60.00°, γ = 60.00°
Closest atoms and distances in Å follow each position.
Fractional positions:
1 K 0.2500 0.2500 0.2500  4 Pt 3.35, 4 Ag 3.35
2 K 0.7500 0.7500 0.7500  4 Pt 3.35, 4 Ag 3.35
3 Ag 0.0000 0.0000 0.0000  8 K 3.35
4 Pt 0.5000 0.5000 0.5000  8 K 3.35

Properties
Calculated total energy, eV/cell: -9.95
Energy above the lowest structure with this stoichiometry, meV/atom: 264
M_tot, μB/cell: 0.000
Energy of formation, eV per atom: 0.2845
Volume, Å³/atom: 28.87

=====

Record 4
# Li2AlW

A relaxed structure of Li2AlW (PBE, Alexandria via LeMat-Bulk).

a = 5.3699 Å, b = 5.3699 Å, c = 5.3699 Å
α = 140.35°, β = 140.35°, γ = 57.32°
Closest atoms and distances in Å follow each position.
Fractional positions:
1 Li 0.2500 0.7500 0.5000  4 Li 2.58
2 Li 0.7500 0.2500 0.5000  4 Li 2.58
3 Al 0.0000 0.0000 0.0000  4 W 2.58
4 W 0.5000 0.5000 0.0000  4 Al 2.58

Properties
Calculated total energy, eV/cell: -18.95
M_tot, μB/cell: 0.000
Energy of formation, eV per atom: 0.3921
Volume, Å³/atom: 15.63